# Pm3Nd6Sm2 | Alexandria | PBE | optimized geometry
# E   -4.490 eV/atom
# Energy relative to the lowest polymorph listed for this composition   0.254 eV/atom
# Energy of formation from the pure elements   0.2644 eV/atom
data_Pm3Nd6Sm2
_chemical_formula_sum 'Pm6 Nd12 Sm4'
_symmetry_space_group_name_H-M 'I 4/m m m'
_symmetry_Int_Tables_number 139
_symmetry_space_group_name_Hall '-I 4 2'
_cell_length_a 4.832
_cell_length_b 4.832
_cell_length_c 34.219
_cell_angle_alpha 90.00
_cell_angle_beta 90.00
_cell_angle_gamma 90.00
loop_
_atom_site_label
_atom_site_fract_x
_atom_site_fract_y
_atom_site_fract_z
Pm1 0.000 0.000 0.000
Pm2 0.000 0.000 0.197
Nd1 0.000 0.000 0.297
Nd2 0.000 0.500 0.120
Sm1 0.000 0.000 0.455

# Co2AgRh | Alexandria | PBE | optimized geometry
# E   -5.841 eV/atom
# Energy of formation from the pure elements   0.2625 eV/atom
data_Co2AgRh
_chemical_formula_sum 'Co6 Ag3 Rh3'
_symmetry_space_group_name_H-M 'R -3 m'
_symmetry_Int_Tables_number 166
_symmetry_space_group_name_Hall '-R 3 2"'
_cell_length_a 2.6976
_cell_length_b 2.6976
_cell_length_c 26.2499
_cell_angle_alpha 90.00
_cell_angle_beta 90.00
_cell_angle_gamma 120.00
loop_
_atom_site_label
_atom_site_fract_x
_atom_site_fract_y
_atom_site_fract_z
Co1 0.0000 0.0000 0.2451
Ag1 0.0000 0.0000 0.0000
Rh1 0.0000 0.0000 0.5000

# GdPuGaNi | Alexandria | PBE | optimized geometry
# E   -9.529 eV/atom
# Energy of formation from the pure elements   -0.2236 eV/atom
data_GdPuGaNi
_chemical_formula_sum 'Gd4 Pu4 Ga4 Ni4'
_symmetry_space_group_name_H-M 'F -4 3 m'
_symmetry_Int_Tables_number 216
_symmetry_space_group_name_Hall 'F -4 2 3'
_cell_length_a 7.012
_cell_length_b 7.012
_cell_length_c 7.012
_cell_angle_alpha 90.00
_cell_angle_beta 90.00
_cell_angle_gamma 90.00
loop_
_atom_site_label
_atom_site_fract_x
_atom_site_fract_y
_atom_site_fract_z
Gd1 0.000 0.000 0.000
Pu1 0.000 0.000 0.500
Ga1 0.250 0.250 0.250
Ni1 0.250 0.250 0.750

# Li2RhCl | Alexandria | PBE | optimized geometry
# E   -3.877 eV/atom
# Energy relative to the lowest polymorph listed for this composition   0.000 eV/atom
# Formation energy from raw total energies   -0.621 eV/atom
data_Li2RhCl
_chemical_formula_sum 'Li4 Rh2 Cl2'
_symmetry_space_group_name_H-M 'C 1 2/m 1'
_symmetry_Int_Tables_number 12
_cell_length_a 5.259
_cell_length_b 3.031
_cell_length_c 7.644
_cell_angle_alpha 90.00
_cell_angle_beta 103.07
_cell_angle_gamma 90.00
loop_
_symmetry_equiv_pos_as_xyz
'x,y,z'
'-x,-y,-z'
'-x,y,-z'
'x,-y,z'
'x+1/2,y+1/2,z'
'-x+1/2,-y+1/2,-z'
'-x+1/2,y+1/2,-z'
'x+1/2,-y+1/2,z'
loop_
_atom_site_label
_atom_site_fract_x
_atom_site_fract_y
_atom_site_fract_z
Li1 0.237 0.000 0.215
Rh1 0.000 0.000 0.500
Cl1 0.000 0.500 0.000

# Zn2PbAu8 | Alexandria | PBE | optimized geometry
# E   -3.033 eV/atom
# Energy of formation from the pure elements   -0.0806 eV/atom
data_Zn2PbAu8
_chemical_formula_sum 'Zn4 Pb2 Au16'
_symmetry_space_group_name_H-M 'C 1 2/m 1'
_symmetry_Int_Tables_number 12
_cell_length_a 16.436
_cell_length_b 3.807
_cell_length_c 6.959
_cell_angle_alpha 90.00
_cell_angle_beta 108.74
_cell_angle_gamma 90.00
loop_
_symmetry_equiv_pos_as_xyz
'x,y,z'
'-x,-y,-z'
'-x,y,-z'
'x,-y,z'
'x+1/2,y+1/2,z'
'-x+1/2,-y+1/2,-z'
'-x+1/2,y+1/2,-z'
'x+1/2,-y+1/2,z'
loop_
_atom_site_label
_atom_site_fract_x
_atom_site_fract_y
_atom_site_fract_z
Zn1 0.211 0.000 0.165
Pb1 0.000 0.500 0.500
Au1 0.049 0.000 0.211
Au2 0.100 0.500 0.956
Au3 0.169 0.000 0.746
Au4 0.179 0.500 0.434

# Sr2EuPd | Alexandria | PBE | optimized geometry
# E   -4.985 eV/atom
# Energy relative to the lowest polymorph listed for this composition   0.000 eV/atom
# Energy of formation from the pure elements   -0.2770 eV/atom
data_Sr2EuPd
_chemical_formula_sum 'Sr2 Eu1 Pd1'
_symmetry_space_group_name_H-M 'P 4/m m m'
_symmetry_Int_Tables_number 123
_symmetry_space_group_name_Hall '-P 4 2'
_cell_length_a 3.850
_cell_length_b 3.850
_cell_length_c 10.046
_cell_angle_alpha 90.00
_cell_angle_beta 90.00
_cell_angle_gamma 90.00
loop_
_atom_site_label
_atom_site_fract_x
_atom_site_fract_y
_atom_site_fract_z
Sr1 0.000 0.000 0.177
Eu1 0.500 0.500 0.500
Pd1 0.500 0.500 0.000